Computed, not measured: an optimized crystal structure of GdCdAu at the PBE level of DFT.

a b c (Å): 5.544 5.544 5.544
angles (deg): 139.94 139.94 57.94
Sites, in units of the cell vectors:
Gd: 0.000 0.000 0.000
Cd: 0.681 0.681 0.000
Au: 0.337 0.337 0.000

Calculated values
Uncorrected energy (eV/cell): -19.867
Magnetic moment (μB per cell): 7.02
DFT formation energy (eV/atom): -0.53